An optimized crystal structure of Al5Sb3Se3. Source: Alexandria, functional PBE-GGA.

The structure belongs to space group Pmm2 (No. 25); the cell edges are 4.2033, 12.5785 and 6.0949 Å and the angles 90.00°, 90.00° and 90.00°. The asymmetric unit holds Al at (0.0000, 0.0000, 0.0000), Al at (0.0000, 0.3481, 0.0471), Al at (0.5000, 0.1802, 0.5037), Sb at (0.0000, 0.1816, 0.7693), Sb at (0.5000, 0.0000, 0.2665), Se at (0.0000, 0.5000, 0.8246) and Se at (0.5000, 0.3427, 0.2820).

The calculation puts the uncorrected energy at -4.215 eV/atom. Its total magnetization is 0.0 μB/f.u. The crystal system is orthorhombic.